First-principles (meta-GGA SCAN) data for a PBEsol-optimized structure of MnP2Au, as listed in Alexandria.

Geometry as extended XYZ:
```
4
Lattice="-2.287 0.879 1.435 -0.213 -4.014 2.120 2.685 1.600 3.299" Properties=species:S:1:pos:R:3 pbc="T T T"
Au 0.093 -0.767 3.427
P -0.106 -2.007 1.060
P 1.343 0.800 1.649
Mn -1.144 0.440 0.718
```

Properties
**ΔE_f**: 0.174 eV per atom
**Crystal system**: tetragonal


First-principles (meta-GGA SCAN) data for a PBEsol-optimized structure of MnP2Au, as listed in Alexandria.

Geometry as extended XYZ:
```
4
Lattice="-1.002 0.391 -2.551 -2.574 0.046 1.018 0.495 7.300 0.924" Properties=species:S:1:pos:R:3 pbc="T T T"
P 0.470 6.925 0.877
P -1.668 1.989 -0.542
Au 0.257 3.793 0.480
Mn -1.397 5.980 -0.037
```

Properties
**ΔE_f**: 0.271 eV per atom
**Crystal system**: tetragonal


First-principles (meta-GGA SCAN) data for a PBEsol-optimized structure of MnP2Au, as listed in Alexandria.

Geometry as extended XYZ:
```
4
Lattice="4.021 0.000 0.000 0.000 3.681 0.208 0.000 -0.213 4.177" Properties=species:S:1:pos:R:3 pbc="T T T"
P 0.000 2.657 3.637
P 0.000 0.811 0.749
Mn 2.011 1.841 0.104
Au 2.011 -0.106 2.089
```

Properties
**ΔE_f**: 0.005 eV per atom
**Crystal system**: monoclinic


The evaluated D(E_F) for the records listed, in turn: 1.41; 2.59; 1.61 states/eV/f.u..
The evaluated energy relative to the lowest polymorph listed for this composition for the records listed, in turn: 169; 266; 0 meV per atom.
The evaluated magnetization for the records listed, in turn: 3.8; 2.8; 3.3 μB/f.u..